# 1
The following is a PBE calculation of a relaxed structure of CaTl2Pd8, from Alexandria via LeMat-Bulk.

Output
The crystal system is monoclinic. The formation energy comes out at -0.22 eV per atom. The offset from the most stable computed form is 0.0392 eV per atom. The calculation puts the calculated total energy at -4.6043 eV/atom.

Unit cell a=7.526 b=14.392 c=4.980 alpha=90.00 beta=131.14 gamma=90.00
Space group C2/m (No. 12)
Symmetry-distinct sites (fractional):
Ca1 0.000 0.000 0.000
Tl1 0.000 0.316 0.500
Pd1 0.000 0.199 0.000
Pd2 0.018 0.500 0.767
Pd3 0.239 0.135 0.730


# 2
The following is a PBE calculation of a relaxed structure of Na2CdF, from Alexandria via LeMat-Bulk.

Output
The crystal system is trigonal. The offset from the most stable computed form is 0.0000 eV per atom. The calculation puts the calculated total energy at -2.6940 eV/atom. For the formation energy without anion corrections, the calculation gives -5.35 eV/f.u.

Unit cell a=3.3397 b=3.3397 c=24.7283 alpha=90.00 beta=90.00 gamma=120.00
Space group R-3m (No. 166, hexagonal axes)
Symmetry-distinct sites (fractional):
Na1 0.0000 0.0000 0.2224
Cd1 0.0000 0.0000 0.0000
F1 0.0000 0.0000 0.5000


# 3
The following is a PBE calculation of a relaxed structure of PaMnAu, from Alexandria via LeMat-Bulk.

Output
The crystal system is hexagonal. The formation energy comes out at -0.04 eV per atom. The offset from the most stable computed form is 0.1729 eV per atom. The calculation puts the calculated total energy at -7.3515 eV/atom.

Unit cell a=4.6732 b=4.6732 c=3.2043 alpha=90.00 beta=90.00 gamma=120.00
Space group P-6m2 (No. 187)
Symmetry-distinct sites (fractional):
Pa1 0.0000 0.0000 0.0000
Mn1 0.6667 0.3333 0.5000
Au1 0.3333 0.6667 0.5000


# 4
The following is a PBE calculation of a relaxed structure of Ta4SbOs, from Alexandria via LeMat-Bulk.

Output
The crystal system is cubic. The calculation puts the calculated total energy at -9.9783 eV/atom. For the formation energy without anion corrections, the calculation gives 2.89 eV/f.u.

Unit cell a=7.668 b=7.668 c=7.668 alpha=90.00 beta=90.00 gamma=90.00
Space group F-43m (No. 216)
Symmetry-distinct sites (fractional):
Ta1 0.125 0.125 0.125
Sb1 0.000 0.000 0.500
Os1 0.250 0.250 0.750


# 5
The following is a PBE calculation of a relaxed structure of Cs2PuHgI6, from Alexandria via LeMat-Bulk.

Output
The crystal system is cubic. The calculation puts the calculated total energy at -3.6243 eV/atom. For the formation energy without anion corrections, the calculation gives -10.60 eV/f.u.

Unit cell a=12.636 b=12.636 c=12.636 alpha=90.00 beta=90.00 gamma=90.00
Space group Fm-3m (No. 225)
Symmetry-distinct sites (fractional):
Cs1 0.250 0.250 0.250
Pu1 0.000 0.000 0.000
Hg1 0.000 0.000 0.500
I1 0.000 0.000 0.242


# 6
The following is a PBE calculation of a relaxed structure of Mg6VGa, from Alexandria via LeMat-Bulk.

Output
The crystal system is orthorhombic. The formation energy comes out at 0.10 eV per atom. The offset from the most stable computed form is 0.0061 eV per atom. The calculation puts the calculated total energy at -2.6114 eV/atom.

Unit cell a=5.009 b=5.997 c=10.836 alpha=90.00 beta=90.00 gamma=90.00
Space group Amm2 (No. 38)
Symmetry-distinct sites (fractional):
Mg1 0.000 0.000 0.000
Mg2 0.000 0.000 0.500
Mg3 0.000 0.245 0.257
Mg4 0.500 0.249 0.593
V1 0.500 0.000 0.345
Ga1 0.500 0.000 0.841


# 7
The following is a PBE calculation of a relaxed structure of Sm4Dy9Al11, from Alexandria via LeMat-Bulk.

Output
The crystal system is orthorhombic. The formation energy comes out at -0.32 eV per atom. The calculation puts the calculated total energy at -4.5487 eV/atom.

Unit cell a=15.457 b=22.493 c=3.375 alpha=90.00 beta=90.00 gamma=90.00
Space group Cmmm (No. 65)
Symmetry-distinct sites (fractional):
Sm1 0.179 0.082 0.000
Dy1 0.000 0.000 0.000
Dy2 0.106 0.402 0.000
Dy3 0.112 0.223 0.000
Al1 0.000 0.121 0.500
Al2 0.000 0.310 0.500
Al3 0.000 0.500 0.500
Al4 0.193 0.500 0.500
Al5 0.224 0.312 0.500


# 8
The following is a PBE calculation of a relaxed structure of Ca3OsPb, from Alexandria via LeMat-Bulk.

Output
The crystal system is cubic. The formation energy comes out at 0.25 eV per atom. The offset from the most stable computed form is 0.0000 eV per atom. The calculation puts the calculated total energy at -3.9382 eV/atom.

Unit cell a=5.475 b=5.475 c=5.475 alpha=90.00 beta=90.00 gamma=90.00
Space group Pm-3m (No. 221)
Symmetry-distinct sites (fractional):
Ca1 0.000 0.000 0.500
Os1 0.000 0.000 0.000
Pb1 0.500 0.500 0.500


# 9
The following is a PBE calculation of a relaxed structure of Ti2CdFe, from Alexandria via LeMat-Bulk.

Output
The crystal system is tetragonal. The formation energy comes out at 0.28 eV per atom. The calculation puts the calculated total energy at -6.0122 eV/atom.

Unit cell a=7.058 b=7.058 c=5.400 alpha=90.00 beta=90.00 gamma=90.00
Space group I-42d (No. 122)
Symmetry-distinct sites (fractional):
Ti1 0.195 0.250 0.125
Cd1 0.000 0.000 0.500
Fe1 0.000 0.000 0.000


# 10
The following is a PBE calculation of a relaxed structure of BaRh2Cl, from Alexandria via LeMat-Bulk.

Output
The crystal system is tetragonal. The offset from the most stable computed form is 0.4454 eV per atom. The calculation puts the calculated total energy at -4.4866 eV/atom. For the formation energy without anion corrections, the calculation gives 0.53 eV/f.u.

Unit cell a=5.433 b=5.433 c=5.872 alpha=90.00 beta=90.00 gamma=90.00
Space group I-4m2 (No. 119)
Symmetry-distinct sites (fractional):
Ba1 0.000 0.000 0.000
Rh1 0.000 0.000 0.500
Rh2 0.000 0.500 0.750
Cl1 0.000 0.500 0.250


# 11
The following is a PBE calculation of a relaxed structure of Be2ZnRu, from Alexandria via LeMat-Bulk.

Output
The crystal system is tetragonal. The formation energy comes out at -0.24 eV per atom. The calculation puts the calculated total energy at -4.7370 eV/atom.

Unit cell a=3.778 b=3.778 c=3.028 alpha=90.00 beta=90.00 gamma=90.00
Space group P4/mmm (No. 123)
Symmetry-distinct sites (fractional):
Be1 0.000 0.500 0.000
Zn1 0.000 0.000 0.500
Ru1 0.500 0.500 0.500


# 12
The following is a PBE calculation of a relaxed structure of CsDySiTe4, from Alexandria via LeMat-Bulk.

Output
The crystal system is monoclinic. The calculation puts the calculated total energy at -4.1760 eV/atom. For the formation energy without anion corrections, the calculation gives -5.79 eV/f.u.

Unit cell a=7.149 b=7.654 c=10.459 alpha=90.00 beta=109.19 gamma=90.00
Space group P2_1/m (No. 11)
Symmetry-distinct sites (fractional):
Cs1 0.236 0.250 0.055
Dy1 0.228 0.250 0.549
Si1 0.214 0.750 0.338
Te1 0.023 0.507 0.699
Te2 0.413 0.750 0.180
Te3 0.439 0.750 0.579